[1]
Density functional theory data (PBE) for crystalline LiMn2Ir at its relaxed geometry.

Structure (extended XYZ):
```
4
Lattice="4.387 0.000 0.000 0.000 4.387 0.000 0.000 0.000 2.861" Properties=species:S:1:pos:R:3 pbc="T T T"
Ir 2.194 0.000 1.430
Li 0.000 2.194 1.430
Mn 0.000 0.000 0.000
Mn 2.194 2.194 0.000
```

Computed properties:
Its mass density is 9.3 Mg/m³. The total magnetization is 6.99 Bohr magnetons per cell. The formation energy is 0.005 eV per atom. The symmetry is P4/mmm, No. 123.



[2]
Density functional theory data (PBE) for crystalline LiMn2Ir2 at its relaxed geometry.

Structure (extended XYZ):
```
10
Lattice="7.347 0.000 0.000 0.000 7.347 0.000 0.000 0.000 2.743" Properties=species:S:1:pos:R:3 pbc="T T T"
Ir 2.675 6.348 0.000
Ir 6.348 4.672 0.000
Ir 4.672 0.999 0.000
Ir 0.999 2.675 0.000
Mn 1.187 4.861 1.371
Mn 4.861 6.160 1.371
Mn 6.160 2.486 1.371
Mn 2.486 1.187 1.371
Li 0.000 0.000 0.000
Li 3.674 3.674 0.000
```

Computed properties:
Its mass density is 11.2 Mg/m³. The total magnetization is 11.27 Bohr magnetons per cell. The formation energy is -0.023 eV per atom. The symmetry is P4/mbm, No. 127.



[3]
Density functional theory data (PBE) for crystalline LiMnIr2 at its relaxed geometry.

Structure (extended XYZ):
```
4
Lattice="-0.543 -3.229 -2.272 2.585 -0.639 0.289 0.290 -3.053 4.270" Properties=species:S:1:pos:R:3 pbc="T T T"
Ir 0.269 -0.112 0.094
Ir 1.169 -1.734 2.185
Li 0.447 -2.537 0.004
Mn 1.885 -4.383 2.283
```

Computed properties:
Its mass density is 13.8 Mg/m³. The total magnetization is 3.46 Bohr magnetons per cell. The formation energy is -0.060 eV per atom. The symmetry is P2/m, No. 10.



[4]
Density functional theory data (PBE) for crystalline LiMn2Ir at its relaxed geometry.

Structure (extended XYZ):
```
4
Lattice="-4.185 1.101 -2.035 -3.299 -1.339 -3.192 -3.051 -1.846 1.559" Properties=species:S:1:pos:R:3 pbc="T T T"
Ir -7.901 -1.563 -2.751
Li -2.634 -0.521 -0.917
Mn -7.469 -0.243 -5.204
Mn -5.283 -1.037 -1.856
```

Computed properties:
Its mass density is 11.2 Mg/m³. The total magnetization is 0.00 Bohr magnetons per cell. The formation energy is 0.088 eV per atom. The symmetry is Immm, No. 71.



[5]
Density functional theory data (PBE) for crystalline Li2MnIr at its relaxed geometry.

Structure (extended XYZ):
```
4
Lattice="-4.853 0.911 1.542 -1.222 -0.233 5.021 2.830 2.190 -3.735" Properties=species:S:1:pos:R:3 pbc="T T T"
Ir -0.715 1.148 2.284
Li -0.045 0.005 0.049
Li -2.992 0.334 3.233
Mn -2.530 1.720 0.544
```

Computed properties:
Its mass density is 7.9 Mg/m³. The total magnetization is 3.41 Bohr magnetons per cell. The formation energy is -0.061 eV per atom. The symmetry is Immm, No. 71.



[6]
Density functional theory data (PBE) for crystalline LiMn2Ir at its relaxed geometry.

Structure (extended XYZ):
```
4
Lattice="-1.129 -1.644 -1.669 0.603 -2.909 2.456 -4.170 0.829 2.006" Properties=species:S:1:pos:R:3 pbc="T T T"
Ir -1.305 -2.069 0.895
Li -3.390 -1.655 1.898
Mn -4.052 0.805 1.949
Mn -2.203 0.438 1.059
```

Computed properties:
Its mass density is 10.9 Mg/m³. The total magnetization is 0.78 Bohr magnetons per cell. The formation energy is 0.138 eV per atom. The symmetry is Pmmm, No. 47.



[7]
Density functional theory data (PBE) for crystalline LiMn2Ir at its relaxed geometry.

Structure (extended XYZ):
```
4
Lattice="2.658 0.000 0.000 0.000 2.658 0.000 0.000 0.000 7.693" Properties=species:S:1:pos:R:3 pbc="T T T"
Ir 0.000 0.000 3.669
Li 1.329 1.329 5.678
Mn 0.000 0.000 0.235
Mn 1.329 1.329 1.958
```

Computed properties:
Its mass density is 9.4 Mg/m³. The total magnetization is 2.14 Bohr magnetons per cell. The formation energy is 0.116 eV per atom. The symmetry is P4mm, No. 99.



[8]
Density functional theory data (PBE) for crystalline Li2MnIr at its relaxed geometry.

Structure (extended XYZ):
```
4
Lattice="4.920 0.238 0.000 -2.443 4.277 0.000 0.000 0.000 2.577" Properties=species:S:1:pos:R:3 pbc="T T T"
Ir -1.221 2.139 1.288
Li 0.000 0.000 0.000
Li 1.238 2.257 0.000
Mn 2.460 0.119 1.288
```

Computed properties:
Its mass density is 7.8 Mg/m³. The total magnetization is 3.85 Bohr magnetons per cell. The formation energy is 0.117 eV per atom. The symmetry is Cmmm, No. 65.



[9]
Density functional theory data (PBE) for crystalline LiMnIr4 at its relaxed geometry.

Structure (extended XYZ):
```
6
Lattice="0.000 3.653 3.653 3.653 0.000 3.653 3.653 3.653 0.000" Properties=species:S:1:pos:R:3 pbc="T T T"
Li 5.479 5.479 5.479
Mn 0.000 0.000 0.000
Ir 2.740 4.565 4.565
Ir 4.565 4.565 2.740
Ir 4.565 2.740 4.565
Ir 2.740 2.740 2.740
```

Computed properties:
Its mass density is 14.2 Mg/m³. The total magnetization is 4.16 Bohr magnetons per cell. The formation energy is 0.172 eV per atom. The symmetry is F-43m, No. 216.



[10]
Density functional theory data (PBE) for crystalline Li2MnIr at its relaxed geometry.

Structure (extended XYZ):
```
8
Lattice="-2.201 0.350 2.606 0.125 -3.381 0.560 6.050 -0.288 7.405" Properties=species:S:1:pos:R:3 pbc="T T T"
Ir 0.000 0.000 0.000
Ir 1.405 -0.727 5.797
Mn -1.038 -1.515 1.583
Mn 2.569 -2.592 4.774
Li 0.150 -0.276 3.552
Li 1.318 -2.142 2.525
Li 3.759 -1.350 6.740
Li 2.721 -2.871 8.324
```

Computed properties:
Its mass density is 8.0 Mg/m³. The total magnetization is 0.00 Bohr magnetons per cell. The formation energy is 0.337 eV per atom. The symmetry is I-42d, No. 122.



[11]
Density functional theory data (PBE) for crystalline LiMn2Ir at its relaxed geometry.

Structure (extended XYZ):
```
8
Lattice="-6.204 -1.809 -2.020 0.941 -6.167 2.631 -3.597 -3.179 2.547" Properties=species:S:1:pos:R:3 pbc="T T T"
Ir 0.000 0.000 0.000
Ir -6.216 -4.488 0.416
Mn -4.649 -2.693 -0.294
Mn -1.096 -4.878 2.026
Mn -4.670 -5.385 2.144
Mn -7.304 -9.353 2.441
Li -2.631 -3.988 0.306
Li -2.643 -6.667 2.742
```

Computed properties:
Its mass density is 8.7 Mg/m³. The total magnetization is 14.92 Bohr magnetons per cell. The formation energy is 0.468 eV per atom. The symmetry is I-42d, No. 122.



[12]
Density functional theory data (PBE) for crystalline LiMnIr2 at its relaxed geometry.

Structure (extended XYZ):
```
4
Lattice="-2.903 0.923 -3.023 -1.550 -3.117 -2.509 -4.063 -1.302 0.458" Properties=species:S:1:pos:R:3 pbc="T T T"
Ir 0.000 0.000 0.000
Ir -2.129 -0.874 -1.269
Li -4.258 -1.748 -2.537
Mn -6.387 -2.623 -3.806
```

Computed properties:
Its mass density is 13.3 Mg/m³. The total magnetization is 3.23 Bohr magnetons per cell. The formation energy is 0.047 eV per atom. The symmetry is F-43m, No. 216.



[13]
Density functional theory data (PBE) for crystalline LiMnIr2 at its relaxed geometry.

Structure (extended XYZ):
```
4
Lattice="-0.683 0.444 -2.876 -2.626 -3.219 0.128 -3.078 2.556 1.126" Properties=species:S:1:pos:R:3 pbc="T T T"
Ir 0.000 0.000 0.000
Ir -2.852 -0.331 0.627
Mn -1.881 1.500 -0.875
Li -1.655 -1.388 -1.374
```

Computed properties:
Its mass density is 14.4 Mg/m³. The total magnetization is 2.71 Bohr magnetons per cell. The formation energy is -0.132 eV per atom. The symmetry is P4/mmm, No. 123.



[14]
Density functional theory data (PBE) for crystalline LiMn2Ir at its relaxed geometry.

Structure (extended XYZ):
```
4
Lattice="2.628 0.036 0.000 -1.156 2.361 0.000 0.000 0.000 8.620" Properties=species:S:1:pos:R:3 pbc="T T T"
Ir 0.000 0.000 4.244
Li 0.736 1.199 6.448
Mn 0.000 0.000 0.154
Mn 0.736 1.199 2.083
```

Computed properties:
Its mass density is 9.5 Mg/m³. The total magnetization is 1.21 Bohr magnetons per cell. The formation energy is 0.145 eV per atom. The symmetry is Cmm2, No. 35.



[15]
Density functional theory data (PBE) for crystalline LiMn2Ir at its relaxed geometry.

Structure (extended XYZ):
```
4
Lattice="5.052 0.115 -0.008 2.291 4.504 0.008 -3.126 -3.177 2.382" Properties=species:S:1:pos:R:3 pbc="T T T"
Ir 3.718 2.339 0.000
Li 1.440 1.832 1.195
Mn 7.302 4.594 0.000
Mn 2.771 -0.394 1.187
```

Computed properties:
Its mass density is 9.6 Mg/m³. The total magnetization is 6.15 Bohr magnetons per cell. The formation energy is 0.095 eV per atom. The symmetry is Imm2, No. 44.



[16]
Density functional theory data (PBE) for crystalline Li2MnIr at its relaxed geometry.

Structure (extended XYZ):
```
4
Lattice="-1.351 -1.806 -3.621 1.912 -3.673 1.024 -2.774 1.833 2.672" Properties=species:S:1:pos:R:3 pbc="T T T"
Ir -0.291 -2.289 1.199
Li 0.561 -5.477 -2.596
Li -1.922 -1.358 -1.124
Mn 0.281 -2.739 -1.298
```

Computed properties:
Its mass density is 8.0 Mg/m³. The total magnetization is 4.02 Bohr magnetons per cell. The formation energy is -0.016 eV per atom. The symmetry is Imm2, No. 44.



[17]
Density functional theory data (PBE) for crystalline LiMn3Ir at its relaxed geometry.

Structure (extended XYZ):
```
5
Lattice="3.873 0.000 0.000 0.000 3.873 0.000 0.000 0.000 3.873" Properties=species:S:1:pos:R:3 pbc="T T T"
Ir 1.937 1.937 1.937
Mn 0.000 1.937 0.000
Mn 0.000 0.000 1.937
Mn 1.937 0.000 0.000
Li 0.000 0.000 0.000
```

Computed properties:
Its mass density is 10.4 Mg/m³. The total magnetization is 3.34 Bohr magnetons per cell. The formation energy is 1.057 eV per atom. The symmetry is Pm-3m, No. 221.



[18]
Density functional theory data (PBE) for crystalline LiMn2Ir2 at its relaxed geometry.

Structure (extended XYZ):
```
10
Lattice="-0.980 -6.785 2.295 5.981 0.499 4.030 -1.439 0.893 2.025" Properties=species:S:1:pos:R:3 pbc="T T T"
Ir 3.141 -0.398 4.128
Ir 3.561 -3.714 5.888
Ir 0.421 -4.995 4.222
Ir 0.002 -1.679 2.462
Mn 4.911 -2.165 4.444
Mn 2.818 -5.691 4.511
Mn 0.090 -4.121 1.881
Mn 2.184 -0.595 1.814
Li 0.000 0.000 0.000
Li 2.501 -3.143 3.162
```

Computed properties:
Its mass density is 12.1 Mg/m³. The total magnetization is 2.66 Bohr magnetons per cell. The formation energy is -0.019 eV per atom. The symmetry is P4/mbm, No. 127.



[19]
Density functional theory data (PBE) for crystalline LiMn2Ir at its relaxed geometry.

Structure (extended XYZ):
```
4
Lattice="-1.801 2.797 2.342 -2.098 3.039 -1.709 -4.056 0.094 0.302" Properties=species:S:1:pos:R:3 pbc="T T T"
Ir -3.978 2.965 0.468
Mn -1.989 1.483 0.234
Mn -5.966 4.448 0.702
Li 0.000 0.000 0.000
```

Computed properties:
Its mass density is 10.8 Mg/m³. The total magnetization is 0.01 Bohr magnetons per cell. The formation energy is 0.241 eV per atom. The symmetry is Fm-3m, No. 225.



[20]
Density functional theory data (PBE) for crystalline LiMnIr2 at its relaxed geometry.

Structure (extended XYZ):
```
4
Lattice="4.162 0.000 0.000 2.081 3.605 0.000 2.081 1.202 3.399" Properties=species:S:1:pos:R:3 pbc="T T T"
Ir 4.162 4.806 3.399
Ir 4.162 2.403 1.699
Mn 6.243 3.605 2.549
Li 2.081 1.202 0.850
```

Computed properties:
Its mass density is 14.5 Mg/m³. The total magnetization is 2.06 Bohr magnetons per cell. The formation energy is -0.168 eV per atom. The symmetry is Fm-3m, No. 225.



[21]
Density functional theory data (PBE) for crystalline LiMnIr2 at its relaxed geometry.

Structure (extended XYZ):
```
8
Lattice="7.064 0.000 0.000 0.000 7.064 0.000 3.532 3.532 2.483" Properties=species:S:1:pos:R:3 pbc="T T T"
Ir 5.659 1.766 0.621
Ir 1.405 5.298 0.621
Ir 5.298 4.936 1.862
Ir 8.830 9.191 1.862
Mn 0.000 0.000 0.000
Mn 7.064 3.532 1.241
Li 3.532 3.532 0.000
Li 3.532 7.064 1.241
```

Computed properties:
Its mass density is 12.0 Mg/m³. The total magnetization is 4.37 Bohr magnetons per cell. The formation energy is 0.361 eV per atom. The symmetry is I-42d, No. 122.



[22]
Density functional theory data (PBE) for crystalline LiMn2Ir2 at its relaxed geometry.

Structure (extended XYZ):
```
5
Lattice="-2.158 3.279 -0.400 -0.761 -0.958 -3.751 -5.796 -1.503 -0.515" Properties=species:S:1:pos:R:3 pbc="T T T"
Ir -2.442 0.557 -1.722
Ir -6.274 0.261 -2.944
Mn -4.707 1.468 -1.495
Mn -4.009 -0.651 -3.171
Li 0.000 0.000 0.000
```

Computed properties:
Its mass density is 10.0 Mg/m³. The total magnetization is 5.44 Bohr magnetons per cell. The formation energy is 0.173 eV per atom. The symmetry is I4/mmm, No. 139.



[23]
Density functional theory data (PBE) for crystalline Li2MnIr at its relaxed geometry.

Structure (extended XYZ):
```
4
Lattice="-2.201 1.577 3.199 -3.078 2.749 -0.728 -3.996 -1.134 0.555" Properties=species:S:1:pos:R:3 pbc="T T T"
Ir -4.638 1.596 1.513
Mn 0.000 0.000 0.000
Li -2.319 0.798 0.756
Li -6.957 2.394 2.269
```

Computed properties:
Its mass density is 8.3 Mg/m³. The total magnetization is 4.43 Bohr magnetons per cell. The formation energy is 0.128 eV per atom. The symmetry is Fm-3m, No. 225.



[24]
Density functional theory data (PBE) for crystalline LiMnIr2 at its relaxed geometry.

Structure (extended XYZ):
```
4
Lattice="2.707 0.027 0.000 -1.226 2.414 0.000 0.000 0.000 8.604" Properties=species:S:1:pos:R:3 pbc="T T T"
Ir 0.000 0.000 8.539
Ir 0.000 0.000 4.368
Li 0.741 1.221 2.151
Mn 0.741 1.221 6.453
```

Computed properties:
Its mass density is 13.1 Mg/m³. The total magnetization is 3.94 Bohr magnetons per cell. The formation energy is -0.049 eV per atom. The symmetry is Cmmm, No. 65.



[25]
Density functional theory data (PBE) for crystalline Li2MnIr at its relaxed geometry.

Structure (extended XYZ):
```
4
Lattice="-2.333 1.449 0.114 0.033 -0.249 3.833 2.880 4.616 0.275" Properties=species:S:1:pos:R:3 pbc="T T T"
Ir 0.931 3.936 2.172
Li 2.879 4.615 0.275
Li -0.467 1.694 2.038
Mn 1.557 2.496 0.148
```

Computed properties:
Its mass density is 7.5 Mg/m³. The total magnetization is 3.27 Bohr magnetons per cell. The formation energy is 0.000 eV per atom. The symmetry is Pmm2, No. 25.



[26]
Density functional theory data (PBE) for crystalline LiMnIr2 at its relaxed geometry.

Structure (extended XYZ):
```
4
Lattice="-2.857 3.715 1.780 -3.925 3.060 -0.596 -3.810 -1.385 2.096" Properties=species:S:1:pos:R:3 pbc="T T T"
Ir -0.370 -0.114 0.198
Ir -7.578 4.119 2.275
Li -5.606 2.549 1.820
Mn -2.334 1.531 0.628
```

Computed properties:
Its mass density is 13.9 Mg/m³. The total magnetization is 2.79 Bohr magnetons per cell. The formation energy is -0.143 eV per atom. The symmetry is Cm, No. 8.



[27]
Density functional theory data (PBE) for crystalline Li2MnIr at its relaxed geometry.

Structure (extended XYZ):
```
4
Lattice="4.781 0.093 0.626 3.940 2.709 0.626 1.231 0.396 4.586" Properties=species:S:1:pos:R:3 pbc="T T T"
Ir 7.366 2.367 3.947
Li 0.159 0.051 0.379
Li 2.382 0.765 1.081
Mn 5.020 1.613 3.350
```

Computed properties:
Its mass density is 7.8 Mg/m³. The total magnetization is 3.24 Bohr magnetons per cell. The formation energy is 0.003 eV per atom. The symmetry is Cm, No. 8.



[28]
Density functional theory data (PBE) for crystalline Li2MnIr at its relaxed geometry.

Structure (extended XYZ):
```
4
Lattice="4.808 -0.026 -0.013 4.038 2.609 -0.013 0.876 0.256 4.324" Properties=species:S:1:pos:R:3 pbc="T T T"
Ir 2.431 0.710 1.074
Li 8.807 2.572 0.040
Li 4.900 1.431 2.082
Mn 7.292 2.130 3.223
```

Computed properties:
Its mass density is 7.9 Mg/m³. The total magnetization is 3.45 Bohr magnetons per cell. The formation energy is -0.057 eV per atom. The symmetry is C2/m, No. 12.



[29]
Density functional theory data (PBE) for crystalline Li2MnIr at its relaxed geometry.

Structure (extended XYZ):
```
4
Lattice="2.615 0.024 0.000 -1.205 2.321 0.000 0.000 0.000 9.126" Properties=species:S:1:pos:R:3 pbc="T T T"
Ir 0.705 1.172 6.844
Li 0.000 0.000 9.034
Li 0.000 0.000 4.655
Mn 0.705 1.172 2.281
```

Computed properties:
Its mass density is 7.8 Mg/m³. The total magnetization is 2.88 Bohr magnetons per cell. The formation energy is 0.107 eV per atom. The symmetry is Cmmm, No. 65.